# 1
Entry from Alexandria via LeMat-Bulk: crystalline Ca2CrRh at its relaxed geometry (PBEsol).

Values from the calculation:
As for the calculated formation energy: 0.3053 eV per atom. As for the space group: P4/mmm.

The structure in extended XYZ format:
```
4
Lattice="-0.550 3.306 0.515 -2.037 0.083 -2.709 -6.044 -1.704 4.491" Properties=species:S:1:pos:R:3 pbc="T T T"
Rh -4.315 0.842 1.148
Ca -1.735 -0.489 1.289
Cr -1.293 1.694 -1.097
Ca -4.309 -1.215 3.202
```

# 2
Entry from Alexandria via LeMat-Bulk: crystalline Ca2CrRu at its relaxed geometry (PBEsol).

Values from the calculation:
As for the calculated formation energy: 0.8511 eV per atom. As for the space group: R-3m.

The structure in extended XYZ format:
```
4
Lattice="3.255 0.000 0.000 1.628 2.819 0.000 1.628 0.940 9.591" Properties=species:S:1:pos:R:3 pbc="T T T"
Cr 3.255 1.879 4.796
Ru 0.000 0.000 0.000
Ca 1.628 0.940 2.064
Ca 4.883 2.819 7.528
```

# 3
Entry from Alexandria via LeMat-Bulk: crystalline CaCrRu2 at its relaxed geometry (PBEsol).

Values from the calculation:
As for the calculated formation energy: 0.7279 eV per atom. Its excess energy over the best structure of this formula in the dataset is 20.9 kJ per mole of atoms. As for the space group: R3m.

The structure in extended XYZ format:
```
4
Lattice="2.746 0.000 0.000 1.373 2.378 0.000 1.373 0.793 9.171" Properties=species:S:1:pos:R:3 pbc="T T T"
Ru 4.119 2.378 0.084
Ru 4.119 2.378 7.089
Cr 1.373 0.793 2.007
Ca 2.746 1.586 4.575
```

# 4
Entry from Alexandria via LeMat-Bulk: crystalline CaCrRu at its relaxed geometry (PBEsol).

Values from the calculation:
As for the calculated formation energy: 0.4935 eV per atom. As for the space group: P-6m2.

The structure in extended XYZ format:
```
3
Lattice="-0.077 3.434 -1.764 -2.334 -0.683 2.999 3.378 1.614 2.996" Properties=species:S:1:pos:R:3 pbc="T T T"
Ca 0.000 0.000 0.000
Cr 0.107 1.497 2.910
Ru 0.859 2.869 1.322
```

# 5
Entry from Alexandria via LeMat-Bulk: crystalline CaCrRu2 at its relaxed geometry (PBEsol).

Values from the calculation:
As for the calculated formation energy: 0.5213 eV per atom. Its excess energy over the best structure of this formula in the dataset is 1.0 kJ per mole of atoms. As for the space group: Fm-3m.

The structure in extended XYZ format:
```
4
Lattice="-0.402 1.393 -4.102 -0.989 -2.815 -3.167 -3.922 0.129 -1.879" Properties=species:S:1:pos:R:3 pbc="T T T"
Ru -1.328 -0.323 -2.287
Ru -3.985 -0.970 -6.861
Cr -2.657 -0.646 -4.574
Ca 0.000 0.000 0.000
```

# 6
Entry from Alexandria via LeMat-Bulk: crystalline CaCrRu2 at its relaxed geometry (PBEsol).

Values from the calculation:
As for the calculated formation energy: 0.5111 eV per atom. Its excess energy over the best structure of this formula in the dataset is 0.0 kJ per mole of atoms. As for the space group: Cm.

The structure in extended XYZ format:
```
4
Lattice="-1.865 -1.776 1.428 3.836 -2.814 -1.525 1.407 1.986 4.306" Properties=species:S:1:pos:R:3 pbc="T T T"
Cr 0.536 -2.149 1.063
Ca -0.217 0.093 2.867
Ru 1.444 1.934 4.289
Ru 2.795 -0.392 3.162
```

# 7
Entry from Alexandria via LeMat-Bulk: crystalline CaCr2Sb at its relaxed geometry (PBEsol).

Values from the calculation:
Its formation energy (no corrections) is 0.35 eV/f.u. As for the space group: R3m.

The structure in extended XYZ format:
```
4
Lattice="-2.918 1.997 -2.548 -2.692 -2.355 -2.490 -5.386 -0.250 2.246" Properties=species:S:1:pos:R:3 pbc="T T T"
Sb -5.917 -0.320 -0.929
Cr -4.825 -0.229 1.620
Ca -2.659 -0.149 -0.798
Cr -8.433 -0.463 -1.887
```

# 8
Entry from Alexandria via LeMat-Bulk: crystalline CaCr2Sb at its relaxed geometry (PBEsol).

Values from the calculation:
Its formation energy (no corrections) is 0.89 eV/f.u. As for the space group: P4mm.

The structure in extended XYZ format:
```
4
Lattice="-1.386 2.898 -0.119 -2.549 -1.280 -1.483 -3.178 -1.253 6.543" Properties=species:S:1:pos:R:3 pbc="T T T"
Cr -0.251 -0.099 0.517
Sb -1.426 -0.562 2.936
Ca -4.416 -0.156 4.239
Cr -2.609 0.556 0.520
```

# 9
Entry from Alexandria via LeMat-Bulk: crystalline Ca2CrSb at its relaxed geometry (PBEsol).

Values from the calculation:
Its formation energy (no corrections) is 0.36 eV/f.u. As for the space group: F-43m.

The structure in extended XYZ format:
```
4
Lattice="-0.644 2.632 4.279 -4.504 2.066 1.050 -2.847 -1.896 3.735" Properties=species:S:1:pos:R:3 pbc="T T T"
Cr -3.997 1.401 4.532
Ca 0.000 0.000 0.000
Sb -1.999 0.700 2.266
Ca -5.996 2.101 6.798
```

# 10
Entry from Alexandria via LeMat-Bulk: crystalline CaCrSb2 at its relaxed geometry (PBEsol).

Values from the calculation:
Its formation energy (no corrections) is -0.10 eV/f.u. As for the space group: P4mm.

The structure in extended XYZ format:
```
4
Lattice="3.748 0.000 0.000 0.000 3.748 0.000 0.000 0.000 7.156" Properties=species:S:1:pos:R:3 pbc="T T T"
Sb 0.000 0.000 6.588
Ca 0.000 0.000 3.464
Cr 1.874 1.874 6.123
Sb 1.874 1.874 1.713
```

# 11
Entry from Alexandria via LeMat-Bulk: crystalline CaCrSb at its relaxed geometry (PBEsol).

Values from the calculation:
Its formation energy (no corrections) is -0.22 eV/f.u. As for the space group: F-43m.

The structure in extended XYZ format:
```
3
Lattice="-1.688 3.078 3.193 -3.673 -1.209 2.750 0.662 -0.785 4.633" Properties=species:S:1:pos:R:3 pbc="T T T"
Ca -2.349 0.542 5.288
Cr -3.524 0.814 7.931
Sb 0.000 0.000 0.000
```

# 12
Entry from Alexandria via LeMat-Bulk: crystalline CaCr2Sb at its relaxed geometry (PBEsol).

Values from the calculation:
Its formation energy (no corrections) is 3.22 eV/f.u. As for the space group: R-3m.

The structure in extended XYZ format:
```
4
Lattice="3.395 0.000 0.000 1.697 2.940 0.000 1.697 0.980 9.121" Properties=species:S:1:pos:R:3 pbc="T T T"
Sb 3.395 1.960 4.560
Ca 0.000 0.000 0.000
Cr 5.092 2.940 6.505
Cr 1.697 0.980 2.615
```

# 13
Entry from Alexandria via LeMat-Bulk: crystalline Ca2TaCrSb at its relaxed geometry (PBEsol).

Values from the calculation:
Its formation energy (no corrections) is 4.89 eV/f.u. As for the space group: P4/mmm.

The structure in extended XYZ format:
```
5
Lattice="-2.490 0.306 -3.663 -4.651 -0.905 3.086 -0.534 5.568 0.828" Properties=species:S:1:pos:R:3 pbc="T T T"
Ca -0.267 2.784 0.414
Sb -3.838 2.485 0.125
Cr -1.245 0.153 -1.832
Ta 0.000 0.000 0.000
Ca -2.325 -0.452 1.543
```

# 14
Entry from Alexandria via LeMat-Bulk: crystalline CaSc3Cr at its relaxed geometry (PBEsol).

Values from the calculation:
As for the calculated formation energy: 0.3151 eV per atom. As for the space group: Pm-3m.

The structure in extended XYZ format:
```
5
Lattice="4.974 0.000 0.000 0.000 4.974 0.000 0.000 0.000 4.974" Properties=species:S:1:pos:R:3 pbc="T T T"
Cr 0.000 0.000 0.000
Sc 0.000 0.000 2.487
Sc 0.000 2.487 0.000
Ca 2.487 2.487 2.487
Sc 2.487 0.000 0.000
```

# 15
Entry from Alexandria via LeMat-Bulk: crystalline CaScCr2 at its relaxed geometry (PBEsol).

Values from the calculation:
As for the calculated formation energy: 0.5243 eV per atom. Its excess energy over the best structure of this formula in the dataset is 0.0 kJ per mole of atoms. As for the space group: Imm2.

The structure in extended XYZ format:
```
4
Lattice="-2.335 -0.728 -1.965 -0.120 -4.591 1.843 -1.927 4.041 3.298" Properties=species:S:1:pos:R:3 pbc="T T T"
Sc -3.025 1.325 3.103
Cr -2.424 0.186 0.306
Ca -1.785 -1.540 2.691
Cr -0.304 0.133 0.312
```

# 16
Entry from Alexandria via LeMat-Bulk: crystalline CaScCr2 at its relaxed geometry (PBEsol).

Values from the calculation:
As for the calculated formation energy: 0.9017 eV per atom. Its excess energy over the best structure of this formula in the dataset is 36.4 kJ per mole of atoms. As for the space group: R-3m.

The structure in extended XYZ format:
```
4
Lattice="-1.294 -0.988 2.723 1.118 -2.599 1.436 6.021 4.070 6.185" Properties=species:S:1:pos:R:3 pbc="T T T"
Cr 4.264 0.259 7.664
Cr 1.580 0.224 2.680
Sc 2.922 0.241 5.172
Ca 0.000 0.000 0.000
```

# 17
Entry from Alexandria via LeMat-Bulk: crystalline CaScCr2 at its relaxed geometry (PBEsol).

Values from the calculation:
As for the calculated formation energy: 1.0044 eV per atom. Its excess energy over the best structure of this formula in the dataset is 46.3 kJ per mole of atoms. As for the space group: Cmmm.

The structure in extended XYZ format:
```
4
Lattice="2.669 0.000 0.000 0.000 5.367 -0.052 0.000 -2.646 4.669" Properties=species:S:1:pos:R:3 pbc="T T T"
Sc 1.334 0.000 0.000
Cr 0.000 2.683 -0.026
Ca 1.334 1.360 2.308
Cr 0.000 -1.323 2.334
```

# 18
Entry from Alexandria via LeMat-Bulk: crystalline CaCrSe2 at its relaxed geometry (PBEsol).

Values from the calculation:
Its formation energy (no corrections) is -3.98 eV/f.u. Its excess energy over the best structure of this formula in the dataset is 1.3 kJ per mole of atoms. As for the space group: P4/mmm.

The structure in extended XYZ format:
```
4
Lattice="3.943 0.000 0.000 0.000 3.943 0.000 0.000 0.000 5.583" Properties=species:S:1:pos:R:3 pbc="T T T"
Cr 1.972 1.972 4.884
Se 1.972 1.972 2.093
Ca 0.000 0.000 2.094
Se 0.000 0.000 4.886
```

# 19
Entry from Alexandria via LeMat-Bulk: crystalline CaCrSe2 at its relaxed geometry (PBEsol).

Values from the calculation:
Its formation energy (no corrections) is -4.04 eV/f.u. Its excess energy over the best structure of this formula in the dataset is 0.0 kJ per mole of atoms. As for the space group: R-3m.

The structure in extended XYZ format:
```
4
Lattice="-0.718 2.178 -3.223 -3.280 -0.627 -2.120 -4.414 4.717 1.744" Properties=species:S:1:pos:R:3 pbc="T T T"
Cr 0.000 0.000 0.000
Se -6.413 4.842 -2.580
Ca -4.206 3.134 -1.799
Se -1.999 1.425 -1.018
```

# 20
Entry from Alexandria via LeMat-Bulk: crystalline CaCrSi at its relaxed geometry (PBEsol).

Values from the calculation:
Its formation energy (no corrections) is 0.34 eV/f.u. As for the space group: I4mm.

The structure in extended XYZ format:
```
3
Lattice="-2.879 -0.350 -1.447 1.487 -0.533 -2.830 0.805 -4.695 3.163" Properties=species:S:1:pos:R:3 pbc="T T T"
Si 0.063 -2.944 0.587
Ca -0.587 -5.568 -1.116
Cr -0.649 -2.643 -1.699
```